An optimized crystal structure of MnNi2Pt. Source: Alexandria via LeMat-Bulk, functional GGA-PBE.

Cell: 4.5365 4.5365 4.5365 Å, 131.80 131.80 70.55°
Fractional positions:
Mn 0.0000 0.0000 0.0000
Ni 0.2500 0.7500 0.5000
Ni 0.5000 0.5000 0.0000
Pt 0.7500 0.2500 0.5000

Output
As for the calculated formation energy: -17 kJ/mol of atoms. The total DFT energy (no corrections) comes out at -6.869 eV per atom. The value obtained for the density of states at the Fermi level is 1.938 states/eV per atom. The magnetization comes out at 4.5 μB per cell.